# Rb2LiInF6 SCAN PBEsol geometry
# - VASP energy: -12.819 eV/atom
# - M_tot: 0.0001 μB/atom
# - Crystal system: cubic
# - Formation energy from raw total energies: -2.97 eV per atom
data_Rb2LiInF6
_chemical_formula_sum 'Rb8 Li4 In4 F24'
_symmetry_space_group_name_H-M 'F m -3 m'
_symmetry_Int_Tables_number 225
_symmetry_space_group_name_Hall '-F 4 2 3'
_cell_length_a 8.370
_cell_length_b 8.370
_cell_length_c 8.370
_cell_angle_alpha 90.00
_cell_angle_beta 90.00
_cell_angle_gamma 90.00
loop_
_atom_site_label
_atom_site_type_symbol
_atom_site_fract_x
_atom_site_fract_y
_atom_site_fract_z
Rb1 Rb 0.250 0.250 0.250
Li1 Li 0.000 0.000 0.000
In1 In 0.000 0.000 0.500
F1 F 0.000 0.000 0.250